1.
Entry from Alexandria: crystalline SrTcO3 at its relaxed geometry (PBE).

Lattice parameters (Å, degrees): 5.1506 9.7082 6.2790 90.00 90.00 90.00
With the nearest neighbours (Å) after each atom.
Sites, in units of the cell vectors:
Sr  0.0000  0.0000  0.0000  6 O 2.51-2.78
Sr  0.0000  0.5000  0.0000  6 O 2.51-2.78
Sr  0.5000  0.0000  0.5000  6 O 2.51-2.78
Sr  0.5000  0.5000  0.5000  6 O 2.51-2.78
Tc  0.0116  0.2500  0.4717  3 O 1.82-2.02
Tc  0.4884  0.7500  0.9717  3 O 1.82-2.02
Tc  0.5116  0.2500  0.0283  3 O 1.82-2.02
Tc  0.9884  0.7500  0.5283  3 O 1.82-2.02
O  0.0782  0.0983  0.6320  1 Tc 1.82
O  0.0782  0.4017  0.6320  1 Tc 1.82
O  0.1581  0.2500  0.1740  2 Tc 2.02-2.04
O  0.3419  0.7500  0.6740  2 Tc 2.02-2.04
O  0.4218  0.5983  0.1320  1 Tc 1.82
O  0.4218  0.9017  0.1320  1 Tc 1.82
O  0.5782  0.0983  0.8680  1 Tc 1.82
O  0.5782  0.4017  0.8680  1 Tc 1.82
O  0.6581  0.2500  0.3260  2 Tc 2.02-2.04
O  0.8419  0.7500  0.8260  2 Tc 2.02-2.04
O  0.9218  0.5983  0.3680  1 Tc 1.82
O  0.9218  0.9017  0.3680  1 Tc 1.82

* total DFT energy (no corrections): -7.120 eV/atom
* total magnetization: 3.96 Bohr magnetons per cell
* theoretical density: 4.94 g/cm³

---

2.
Entry from Alexandria: crystalline ZrCdRe4 at its relaxed geometry (PBE).

Lattice parameters (Å, degrees): 5.2920 5.2920 5.2920 60.00 60.00 60.00
With the nearest neighbours (Å) after each atom.
Sites, in units of the cell vectors:
Zr  0.0000  0.0000  0.0000  12 Re 3.10, 4 Cd 3.24
Cd  0.2500  0.2500  0.2500  12 Re 3.10, 4 Zr 3.24
Re  0.1264  0.6245  0.6245  6 Re 2.64-2.66
Re  0.6245  0.1264  0.6245  6 Re 2.64-2.66
Re  0.6245  0.6245  0.1264  6 Re 2.64-2.66
Re  0.6245  0.6245  0.6245  6 Re 2.64-2.66

* total magnetization: 0.00 Bohr magnetons per cell
* theoretical density: 15.03 g/cm³
* formation enthalpy at 0 K: 43 meV/atom

---

3.
Entry from Alexandria: crystalline PmAl3ZnPd at its relaxed geometry (PBE).

Lattice parameters (Å, degrees): 7.2783 7.2783 5.8493 90.00 90.00 131.70
With the nearest neighbours (Å) after each atom.
Sites, in units of the cell vectors:
Pm  0.1990  0.8010  0.7500  1 Pd 2.79, 2 Zn 2.99, 2 Al 3.11
Pm  0.8010  0.1990  0.2500  1 Pd 2.79, 2 Zn 2.99, 2 Al 3.11
Al  0.2166  0.2166  0.0000  2 Pd 2.54, 3 Al 2.58-2.84, 2 Zn 2.81
Al  0.2166  0.2166  0.5000  2 Pd 2.54, 3 Al 2.58-2.84, 2 Zn 2.81
Al  0.3679  0.6321  0.2500  4 Al 2.84, 1 Zn 2.86, 3 Pd 2.96-2.98, 2 Pm 3.11
Al  0.6321  0.3679  0.7500  4 Al 2.84, 1 Zn 2.86, 3 Pd 2.96-2.98, 2 Pm 3.11
Al  0.7834  0.7834  0.0000  2 Pd 2.54, 3 Al 2.58-2.84, 2 Zn 2.81
Al  0.7834  0.7834  0.5000  2 Pd 2.54, 3 Al 2.58-2.84, 2 Zn 2.81
Zn  0.1528  0.8472  0.2500  5 Al 2.81-2.86, 2 Pm 2.99, 2 Pd 3.09
Zn  0.8472  0.1528  0.7500  5 Al 2.81-2.86, 2 Pm 2.99, 2 Pd 3.09
Pd  0.4091  0.5909  0.7500  4 Al 2.54, 1 Pm 2.79
Pd  0.5909  0.4091  0.2500  4 Al 2.54, 1 Pm 2.79

* total magnetization: 0.00 Bohr magnetons per cell
* theoretical density: 5.71 g/cm³
* formation enthalpy at 0 K: -386 meV/atom

---

4.
Entry from Alexandria: crystalline PmPr4Y at its relaxed geometry (PBE).

Lattice parameters (Å, degrees): 11.8233 11.8914 3.5330 90.00 90.00 90.00
With the nearest neighbours (Å) after each atom.
Sites, in units of the cell vectors:
Pm  0.0000  0.0000  0.0000  6 Pr 3.12-3.34
Pm  0.5000  0.5000  0.0000  6 Pr 3.12-3.34
Pr  0.0000  0.2620  0.0000  1 Pm 3.12, 2 Y 3.34
Pr  0.0000  0.7380  0.0000  1 Pm 3.12, 2 Y 3.34
Pr  0.2395  0.0000  0.5000  1 Y 3.08, 2 Pm 3.34
Pr  0.2605  0.5000  0.5000  1 Y 3.08, 2 Pm 3.34
Pr  0.5000  0.2380  0.0000  1 Pm 3.12, 2 Y 3.34
Pr  0.5000  0.7620  0.0000  1 Pm 3.12, 2 Y 3.34
Pr  0.7395  0.5000  0.5000  1 Y 3.08, 2 Pm 3.34
Pr  0.7605  0.0000  0.5000  1 Y 3.08, 2 Pm 3.34
Y  0.0000  0.5000  0.5000  6 Pr 3.08-3.34
Y  0.5000  0.0000  0.5000  6 Pr 3.08-3.34

* total magnetization: 0.00 Bohr magnetons per cell
* theoretical density: 5.33 g/cm³
* energy above the most stable polymorph in this dataset: 226.6 meV/atom
* formation enthalpy at 0 K: 592 meV/atom

---

5.
Entry from Alexandria: crystalline La2Tb4Sm at its relaxed geometry (PBE).

Lattice parameters (Å, degrees): 4.6254 4.6254 22.7921 90.00 90.00 90.00
With the nearest neighbours (Å) after each atom.
Sites, in units of the cell vectors:
La  0.0000  0.0000  0.0975  4 Tb 3.41
La  0.0000  0.0000  0.9025  4 Tb 3.41
La  0.5000  0.5000  0.4025  4 Tb 3.41
La  0.5000  0.5000  0.5975  4 Tb 3.41
Tb  0.0000  0.0000  0.3604  1 Sm 3.18, 4 La 3.41, 4 Tb 3.42
Tb  0.0000  0.0000  0.6396  1 Sm 3.18, 4 La 3.41, 4 Tb 3.42
Tb  0.0000  0.5000  0.2500  8 Tb 3.27-3.42
Tb  0.0000  0.5000  0.7500  8 Tb 3.27-3.42
Tb  0.5000  0.0000  0.2500  8 Tb 3.27-3.42
Tb  0.5000  0.0000  0.7500  8 Tb 3.27-3.42
Tb  0.5000  0.5000  0.1396  1 Sm 3.18, 4 La 3.41, 4 Tb 3.42
Tb  0.5000  0.5000  0.8604  1 Sm 3.18, 4 La 3.41, 4 Tb 3.42
Sm  0.0000  0.0000  0.5000  2 Tb 3.18
Sm  0.5000  0.5000  0.0000  2 Tb 3.18

* total magnetization: 0.00 Bohr magnetons per cell
* theoretical density: 7.25 g/cm³
* energy above the most stable polymorph in this dataset: 0.0 meV/atom
* formation enthalpy at 0 K: 241 meV/atom